Model a:
Compound: Ba4Cl5
Source: Alexandria via LeMat-Bulk
Functional: PBE
Structure: optimized geometry

Lattice parameters (Å, degrees): 8.9781 8.9781 8.8347 90.00 90.00 120.00
With the nearest neighbours (Å) after each atom.
Space group P6_3/mcm (No. 193)
Unique sites:
Ba  0.0000  0.0000  0.0000 (multiplicity 2)  6 Cl 3.14
Ba  0.0000  0.4093  0.2500 (multiplicity 6)  3 Cl 3.07-3.21
Cl  0.0000  0.2484  0.7500 (multiplicity 6)  5 Ba 3.07-3.21
Cl  0.3333  0.6667  0.0000 (multiplicity 4)  6 Ba 3.50

## Properties
Theoretical density: 3.91 Mg/m³
Crystal system: hexagonal
Total magnetic moment: 2.14 μB/f.u.

---

Model b:
Compound: Ba4Cl5
Source: Alexandria via LeMat-Bulk
Functional: PBE
Structure: optimized geometry

Lattice parameters (Å, degrees): 11.7334 11.7334 4.6656 90.00 90.00 90.00
With the nearest neighbours (Å) after each atom.
Space group I4/mmm (No. 139)
Unique sites:
Ba  0.0000  0.2646  0.0000 (multiplicity 8)  5 Cl 3.10-3.28
Cl  0.0000  0.0000  0.0000 (multiplicity 2)  4 Ba 3.10
Cl  0.1750  0.1750  0.5000 (multiplicity 8)  4 Ba 3.28, 2 Cl 3.41

## Properties
Theoretical density: 3.76 Mg/m³
Crystal system: tetragonal
Total magnetic moment: 0.00 μB/f.u.

---

Relative energy of each structure, in eV/atom: model a 0.085; model b 0.000.

---

Model a:
Compound: Ba4Cl
Source: Alexandria via LeMat-Bulk
Functional: PBE
Structure: optimized geometry

Lattice parameters (Å, degrees): 6.4683 6.4683 6.4683 90.00 90.00 90.00
With the nearest neighbours (Å) after each atom.
Space group Pm-3m (No. 221)
Unique sites:
Ba  0.0000  0.0000  0.0000 (multiplicity 1)  12 Ba 4.57
Ba  0.0000  0.5000  0.5000 (multiplicity 3)  2 Cl 3.23
Cl  0.5000  0.5000  0.5000 (multiplicity 1)  6 Ba 3.23

## Properties
Theoretical density: 3.59 Mg/m³
Crystal system: cubic
Total magnetic moment: 0.00 μB/f.u.

---

Model b:
Compound: Ba4Cl
Source: Alexandria via LeMat-Bulk
Functional: PBE
Structure: optimized geometry

Lattice parameters (Å, degrees): 4.9160 4.9160 23.2875 90.00 90.00 90.00
With the nearest neighbours (Å) after each atom.
Space group I4/mmm (No. 139)
Unique sites:
Ba  0.0000  0.0000  0.0897 (multiplicity 4)  4 Cl 4.06, 5 Ba 4.18-4.47
Ba  0.0000  0.5000  0.2500 (multiplicity 4)  4 Ba 3.48
Cl  0.0000  0.0000  0.5000 (multiplicity 2)  8 Ba 4.06

## Properties
Theoretical density: 3.45 Mg/m³
Crystal system: tetragonal
Total magnetic moment: 0.00 μB/f.u.

---

Model c:
Compound: Ba4Cl
Source: Alexandria via LeMat-Bulk
Functional: PBE
Structure: optimized geometry

Lattice parameters (Å, degrees): 7.8888 7.8888 7.8888 90.00 90.00 90.00
With the nearest neighbours (Å) after each atom.
Space group Im-3m (No. 229)
Unique sites:
Ba  0.2500  0.2500  0.2500 (multiplicity 8)  2 Cl 3.42
Cl  0.0000  0.0000  0.0000 (multiplicity 2)  8 Ba 3.42

## Properties
Theoretical density: 3.96 Mg/m³
Crystal system: cubic
Total magnetic moment: 0.00 μB/f.u.

---

Relative energy of each structure, in eV/atom: model a 0.000; model b 0.433; model c 0.267.